DFT (GGA-PBE) results for crystalline RbNa2FePt at its relaxed geometry.

Unit cell a=5.226 b=4.997 c=5.226 alpha=90.00 beta=90.00 gamma=90.00
Last column: magnetic moment on the atom in μB.
Fractional coordinates of all 5 atoms:
Pt 0.500 0.500 0.500  0.09
Fe 0.000 0.500 0.000  2.72
Na 0.500 0.000 0.000  0.00
Rb 0.000 0.000 0.000  -0.03
Na 0.000 0.000 0.500  -0.01

Calculated values
- Formation energy: 1552 meV/atom

DFT (GGA-PBE) results for crystalline NaFeSbPt2 at its relaxed geometry.

Unit cell a=5.043 b=4.872 c=5.043 alpha=90.00 beta=90.00 gamma=90.00
Last column: magnetic moment on the atom in μB.
Fractional coordinates of all 5 atoms:
Sb 0.000 0.000 0.000  -0.04
Pt 0.000 0.000 0.500  0.07
Na 0.500 0.500 0.500  0.00
Fe 0.000 0.500 0.000  2.90
Pt 0.500 0.000 0.000  0.08

Calculated values
- Uncorrected formation energy: 0.540 eV per atom

DFT (GGA-PBE) results for crystalline NaFe2TcPt at its relaxed geometry.

Unit cell a=4.177 b=4.425 c=4.177 alpha=90.00 beta=90.00 gamma=90.00
Last column: magnetic moment on the atom in μB.
Fractional coordinates of all 5 atoms:
Na 0.000 0.000 0.000  0.02
Fe 0.500 0.000 0.000  0.08
Tc 0.000 0.500 0.000  1.54
Pt 0.500 0.500 0.500  0.14
Fe 0.000 0.000 0.500  0.02

Calculated values
- Formation energy: 2364 meV/atom

DFT (GGA-PBE) results for crystalline NaFeTePt2 at its relaxed geometry.

Unit cell a=5.013 b=5.264 c=5.013 alpha=90.00 beta=90.00 gamma=90.00
Last column: magnetic moment on the atom in μB.
Fractional coordinates of all 5 atoms:
Na 0.000 0.500 0.000  0.00
Pt 0.500 0.000 0.000  0.06
Te 0.000 0.000 0.000  0.04
Pt 0.000 0.000 0.500  0.05
Fe 0.500 0.500 0.500  3.33

Calculated values
- Uncorrected formation energy: 0.942 eV per atom